Compound: Co2TeAs
Source: Alexandria
Functional: PBE
Structure: relaxed

Cell and atoms, written as CIF:
```
data_Co2TeAs
_chemical_formula_sum 'Co2 Te1 As1'
_cell_length_a 3.0430
_cell_length_b 3.0430
_cell_length_c 6.5398
_cell_angle_alpha 90.00
_cell_angle_beta 90.00
_cell_angle_gamma 90.17
_space_group_name_H-M_alt 'P 1'
_space_group_IT_number 1
loop_
_space_group_symop_operation_xyz
'x,y,z'
loop_
_atom_site_label
_atom_site_type_symbol
_atom_site_fract_x
_atom_site_fract_y
_atom_site_fract_z
Co1 Co 0.0000 0.0000 0.1995
Co2 Co 0.0000 0.0000 0.8005
Te1 Te 0.5000 0.5000 0.5000
As1 As 0.5000 0.5000 0.0000
```

Properties
Formation energy (no corrections) in eV per atom: 0.2706
Symmetry: Cmmm (65)


Compound: Co2TeAs
Source: Alexandria
Functional: PBE
Structure: relaxed

Cell and atoms, written as CIF:
```
data_Co2TeAs
_chemical_formula_sum 'Co2 Te1 As1'
_cell_length_a 6.4586
_cell_length_b 6.4586
_cell_length_c 6.4586
_cell_angle_alpha 152.55
_cell_angle_beta 148.81
_cell_angle_gamma 42.02
_space_group_name_H-M_alt 'P 1'
_space_group_IT_number 1
loop_
_space_group_symop_operation_xyz
'x,y,z'
loop_
_atom_site_label
_atom_site_type_symbol
_atom_site_fract_x
_atom_site_fract_y
_atom_site_fract_z
Co1 Co 0.0000 0.0000 0.0000
Co2 Co 0.8146 0.3146 0.5000
Te1 Te 0.6164 0.6164 0.0000
As1 As 0.3670 0.8670 0.5000
```

Properties
Formation energy (no corrections) in eV per atom: 0.0801
Symmetry: Imm2 (44)


Compound: Co2TeAs2
Source: Alexandria
Functional: PBE
Structure: relaxed

Cell and atoms, written as CIF:
```
data_Co2TeAs2
_chemical_formula_sum 'Co4 Te2 As4'
_cell_length_a 7.3139
_cell_length_b 7.3139
_cell_length_c 3.0438
_cell_angle_alpha 90.00
_cell_angle_beta 90.00
_cell_angle_gamma 90.00
_space_group_name_H-M_alt 'P 1'
_space_group_IT_number 1
loop_
_space_group_symop_operation_xyz
'x,y,z'
loop_
_atom_site_label
_atom_site_type_symbol
_atom_site_fract_x
_atom_site_fract_y
_atom_site_fract_z
Co1 Co 0.1275 0.3725 0.0000
Co2 Co 0.3725 0.8725 0.0000
Co3 Co 0.6275 0.1275 0.0000
Co4 Co 0.8725 0.6275 0.0000
Te1 Te 0.0000 0.0000 0.0000
Te2 Te 0.5000 0.5000 0.0000
As1 As 0.1349 0.6349 0.5000
As2 As 0.3651 0.1349 0.5000
As3 As 0.6349 0.8651 0.5000
As4 As 0.8651 0.3651 0.5000
```

Properties
Energy above the most stable polymorph in this dataset in kJ per mole of atoms: 0.0
Formation energy (no corrections) in eV per atom: 0.1200
Symmetry: P4/mbm (127)


Compound: Co4TeAs
Source: Alexandria
Functional: PBE
Structure: relaxed

Cell and atoms, written as CIF:
```
data_Co4TeAs
_chemical_formula_sum 'Co4 Te1 As1'
_cell_length_a 4.9426
_cell_length_b 4.9426
_cell_length_c 4.9426
_cell_angle_alpha 60.00
_cell_angle_beta 60.00
_cell_angle_gamma 60.00
_space_group_name_H-M_alt 'P 1'
_space_group_IT_number 1
loop_
_space_group_symop_operation_xyz
'x,y,z'
loop_
_atom_site_label
_atom_site_type_symbol
_atom_site_fract_x
_atom_site_fract_y
_atom_site_fract_z
Co1 Co 0.3755 0.3755 0.3755
Co2 Co 0.3755 0.3755 0.8734
Co3 Co 0.3755 0.8734 0.3755
Co4 Co 0.8734 0.3755 0.3755
Te1 Te 0.0000 0.0000 0.0000
As1 As 0.7500 0.7500 0.7500
```

Properties
Formation energy (no corrections) in eV per atom: 0.4144
Symmetry: F-43m (216)


Compound: Co2TeAs
Source: Alexandria
Functional: PBE
Structure: relaxed

Cell and atoms, written as CIF:
```
data_Co2TeAs
_chemical_formula_sum 'Co2 Te1 As1'
_cell_length_a 3.3547
_cell_length_b 3.3547
_cell_length_c 5.7870
_cell_angle_alpha 90.00
_cell_angle_beta 90.00
_cell_angle_gamma 90.00
_space_group_name_H-M_alt 'P 1'
_space_group_IT_number 1
loop_
_space_group_symop_operation_xyz
'x,y,z'
loop_
_atom_site_label
_atom_site_type_symbol
_atom_site_fract_x
_atom_site_fract_y
_atom_site_fract_z
Co1 Co 0.0000 0.0000 0.0000
Co2 Co 0.5000 0.5000 0.2765
Te1 Te 0.0000 0.0000 0.4395
As1 As 0.5000 0.5000 0.8847
```

Properties
Formation energy (no corrections) in eV per atom: 0.0516
Symmetry: P4mm (99)


Compound: CoTeAs3
Source: Alexandria
Functional: PBE
Structure: relaxed

Cell and atoms, written as CIF:
```
data_CoTeAs3
_chemical_formula_sum 'Co1 Te1 As3'
_cell_length_a 4.6705
_cell_length_b 4.6705
_cell_length_c 4.6705
_cell_angle_alpha 90.00
_cell_angle_beta 90.00
_cell_angle_gamma 90.00
_space_group_name_H-M_alt 'P 1'
_space_group_IT_number 1
loop_
_space_group_symop_operation_xyz
'x,y,z'
loop_
_atom_site_label
_atom_site_type_symbol
_atom_site_fract_x
_atom_site_fract_y
_atom_site_fract_z
Co1 Co 0.0000 0.0000 0.0000
Te1 Te 0.5000 0.5000 0.5000
As1 As 0.0000 0.0000 0.5000
As2 As 0.0000 0.5000 0.0000
As3 As 0.5000 0.0000 0.0000
```

Properties
Energy above the most stable polymorph in this dataset in kJ per mole of atoms: 0.0
Formation energy (no corrections) in eV per atom: 0.3697
Symmetry: Pm-3m (221)


Compound: Co2TeAs
Source: Alexandria
Functional: PBE
Structure: relaxed

Cell and atoms, written as CIF:
```
data_Co2TeAs
_chemical_formula_sum 'Co4 Te2 As2'
_cell_length_a 7.2820
_cell_length_b 7.2820
_cell_length_c 7.2820
_cell_angle_alpha 140.64
_cell_angle_beta 140.64
_cell_angle_gamma 56.89
_space_group_name_H-M_alt 'P 1'
_space_group_IT_number 1
loop_
_space_group_symop_operation_xyz
'x,y,z'
loop_
_atom_site_label
_atom_site_type_symbol
_atom_site_fract_x
_atom_site_fract_y
_atom_site_fract_z
Co1 Co 0.0789 0.6250 0.9539
Co2 Co 0.3750 0.3289 0.4539
Co3 Co 0.6711 0.1250 0.0461
Co4 Co 0.8750 0.9211 0.5461
Te1 Te 0.2500 0.7500 0.5000
Te2 Te 0.5000 0.5000 0.0000
As1 As 0.0000 0.0000 0.0000
As2 As 0.7500 0.2500 0.5000
```

Properties
Formation energy (no corrections) in eV per atom: 0.1204
Symmetry: I-42d (122)


Compound: Co2TeAs
Source: Alexandria
Functional: PBE
Structure: relaxed

Cell and atoms, written as CIF:
```
data_Co2TeAs
_chemical_formula_sum 'Co2 Te1 As1'
_cell_length_a 4.4211
_cell_length_b 4.4211
_cell_length_c 4.4211
_cell_angle_alpha 60.00
_cell_angle_beta 60.00
_cell_angle_gamma 60.00
_space_group_name_H-M_alt 'P 1'
_space_group_IT_number 1
loop_
_space_group_symop_operation_xyz
'x,y,z'
loop_
_atom_site_label
_atom_site_type_symbol
_atom_site_fract_x
_atom_site_fract_y
_atom_site_fract_z
Co1 Co 0.2500 0.2500 0.2500
Co2 Co 0.7500 0.7500 0.7500
Te1 Te 0.0000 0.0000 0.0000
As1 As 0.5000 0.5000 0.5000
```

Properties
Formation energy (no corrections) in eV per atom: 0.3063
Symmetry: Fm-3m (225)


Compound: Co2TeAs
Source: Alexandria
Functional: PBE
Structure: relaxed

Cell and atoms, written as CIF:
```
data_Co2TeAs
_chemical_formula_sum 'Co2 Te1 As1'
_cell_length_a 3.8481
_cell_length_b 4.6477
_cell_length_c 4.4117
_cell_angle_alpha 90.00
_cell_angle_beta 113.84
_cell_angle_gamma 90.00
_space_group_name_H-M_alt 'P 1'
_space_group_IT_number 1
loop_
_space_group_symop_operation_xyz
'x,y,z'
loop_
_atom_site_label
_atom_site_type_symbol
_atom_site_fract_x
_atom_site_fract_y
_atom_site_fract_z
Co1 Co 0.0000 0.0000 0.0000
Co2 Co 0.3170 0.5000 0.8411
Te1 Te 0.3244 0.0000 0.6259
As1 As 0.9726 0.5000 0.1645
```

Properties
Formation energy (no corrections) in eV per atom: 0.0826
Symmetry: Pm (6)


Compound: Co2TeAs
Source: Alexandria
Functional: PBE
Structure: relaxed

Cell and atoms, written as CIF:
```
data_Co2TeAs
_chemical_formula_sum 'Co2 Te1 As1'
_cell_length_a 4.5335
_cell_length_b 4.5335
_cell_length_c 4.5335
_cell_angle_alpha 60.00
_cell_angle_beta 60.00
_cell_angle_gamma 60.00
_space_group_name_H-M_alt 'P 1'
_space_group_IT_number 1
loop_
_space_group_symop_operation_xyz
'x,y,z'
loop_
_atom_site_label
_atom_site_type_symbol
_atom_site_fract_x
_atom_site_fract_y
_atom_site_fract_z
Co1 Co 0.0000 0.0000 0.0000
Co2 Co 0.2500 0.2500 0.2500
Te1 Te 0.5000 0.5000 0.5000
As1 As 0.7500 0.7500 0.7500
```

Properties
Formation energy (no corrections) in eV per atom: 0.7466
Symmetry: F-43m (216)


Compound: Co2TeAs
Source: Alexandria
Functional: PBE
Structure: relaxed

Cell and atoms, written as CIF:
```
data_Co2TeAs
_chemical_formula_sum 'Co2 Te1 As1'
_cell_length_a 4.3251
_cell_length_b 4.3251
_cell_length_c 3.2774
_cell_angle_alpha 90.00
_cell_angle_beta 90.00
_cell_angle_gamma 90.00
_space_group_name_H-M_alt 'P 1'
_space_group_IT_number 1
loop_
_space_group_symop_operation_xyz
'x,y,z'
loop_
_atom_site_label
_atom_site_type_symbol
_atom_site_fract_x
_atom_site_fract_y
_atom_site_fract_z
Co1 Co 0.0000 0.5000 0.0000
Co2 Co 0.5000 0.0000 0.0000
Te1 Te 0.0000 0.0000 0.5000
As1 As 0.5000 0.5000 0.5000
```

Properties
Formation energy (no corrections) in eV per atom: 0.3237
Symmetry: P4/mmm (123)


Compound: Co2TeAs
Source: Alexandria
Functional: PBE
Structure: relaxed

Cell and atoms, written as CIF:
```
data_Co2TeAs
_chemical_formula_sum 'Co2 Te1 As1'
_cell_length_a 2.9650
_cell_length_b 3.1185
_cell_length_c 6.7931
_cell_angle_alpha 90.00
_cell_angle_beta 90.00
_cell_angle_gamma 90.00
_space_group_name_H-M_alt 'P 1'
_space_group_IT_number 1
loop_
_space_group_symop_operation_xyz
'x,y,z'
loop_
_atom_site_label
_atom_site_type_symbol
_atom_site_fract_x
_atom_site_fract_y
_atom_site_fract_z
Co1 Co 0.0000 0.0000 0.1829
Co2 Co 0.0000 0.0000 0.8171
Te1 Te 0.0000 0.5000 0.5000
As1 As 0.5000 0.5000 0.0000
```

Properties
Formation energy (no corrections) in eV per atom: 0.1334
Symmetry: Pmmm (47)